RbCa2Sm | PBE | relaxed

formation enthalpy at 0 K: 0.1823 eV per atom
M_tot: 0.73 μB per cell

CIF file:
```
data_RbCa2Sm
_symmetry_space_group_name_H-M 'P 1'
_symmetry_Int_Tables_number 1
_symmetry_space_group_name_Hall 'P 1'
_cell_length_a 3.930
_cell_length_b 3.930
_cell_length_c 12.227
_cell_angle_alpha 90.00
_cell_angle_beta 90.00
_cell_angle_gamma 90.00
loop_
_atom_site_label
_atom_site_type_symbol
_atom_site_fract_x
_atom_site_fract_y
_atom_site_fract_z
_atom_site_occupancy
Ca1 Ca 0.000 0.000 0.797 1
Ca2 Ca 0.000 0.000 0.203 1
Rb1 Rb 0.500 0.500 0.500 1
Sm1 Sm 0.500 0.500 0.000 1
```